# 1
## LaScP2 (PBEsol)

Data for a relaxed structure of LaScP2.

Values from the calculation:
* calculated formation energy: -5.4 eV/f.u.

Lattice parameters (Å, degrees): 4.0169 4.0169 5.6306 90.00 90.00 90.00
Fractional positions:
P: 0.5000 0.5000 0.3749
P: 0.0000 0.0000 0.8756
Sc: 0.0000 0.0000 0.3747
La: 0.5000 0.5000 0.8748

***

# 2
## YBeAg2 (PBEsol)

Data for a relaxed structure of YBeAg2.

Values from the calculation:
* calculated formation energy: 0.1 eV/f.u.

Lattice parameters (Å, degrees): 4.4886 4.7388 4.4886 61.73 90.00 118.27
Fractional positions:
Y: 0.7500 0.5000 0.7500
Be: 0.5000 0.0000 0.5000
Ag: 0.0000 0.0000 0.0000
Ag: 0.2500 0.5000 0.2500

***

# 3
## CsSr2TiPd (PBEsol)

Data for a relaxed structure of CsSr2TiPd.

Values from the calculation:
* calculated formation energy: 3.2 eV/f.u.

Lattice parameters (Å, degrees): 5.8156 5.8156 6.2536 90.00 90.00 90.00
Fractional positions:
Ti: 0.5000 0.5000 0.5000
Cs: 0.0000 0.0000 0.5000
Sr: 0.0000 0.5000 0.0000
Sr: 0.5000 0.0000 0.0000
Pd: 0.0000 0.0000 0.0000

***

# 4
## ScICl3 (PBEsol)

Data for a relaxed structure of ScICl3.

Values from the calculation:
* energy relative to the elements, uncorrected: -6.4 eV/f.u.

Lattice parameters (Å, degrees): 5.0093 5.0093 5.0093 90.00 90.00 90.00
Fractional positions:
Sc: 0.0000 0.0000 0.0000
I: 0.5000 0.5000 0.5000
Cl: 0.5000 0.0000 0.0000
Cl: 0.0000 0.0000 0.5000
Cl: 0.0000 0.5000 0.0000

***

# 5
## AsRu2 (PBEsol)

Data for a relaxed structure of AsRu2.

Values from the calculation:
* calculated formation energy: 0.7 eV/f.u.

Lattice parameters (Å, degrees): 2.9474 2.9474 10.1418 98.36 98.36 90.00
Fractional positions:
Ru: 0.8212 0.3212 0.6425
Ru: 0.4288 0.4288 0.8575
Ru: 0.6788 0.1788 0.3575
Ru: 0.5712 0.5712 0.1425
As: 0.2500 0.7500 0.5000
As: 0.0000 0.0000 0.0000

***

# 6
## CsScBiSb2 (PBEsol)

Data for a relaxed structure of CsScBiSb2.

Values from the calculation:
* energy relative to the elements, uncorrected: 6.9 eV/f.u.

Lattice parameters (Å, degrees): 5.8609 5.8609 5.9508 90.00 90.00 90.00
Fractional positions:
Sc: 0.5000 0.5000 0.5000
Sb: 0.5000 0.0000 0.0000
Sb: 0.0000 0.5000 0.0000
Cs: 0.0000 0.0000 0.0000
Bi: 0.0000 0.0000 0.5000

***

# 7
## BaCa2Pt2 (PBEsol)

Data for a relaxed structure of BaCa2Pt2.

Values from the calculation:
* calculated formation energy: -3.4 eV/f.u.

Lattice parameters (Å, degrees): 4.6487 4.6487 7.0422 109.27 109.27 90.00
Fractional positions:
Ca: 0.7500 0.2500 0.5000
Ca: 0.2500 0.7500 0.5000
Ba: 0.0000 0.0000 0.0000
Pt: 0.6061 0.6061 0.2123
Pt: 0.3939 0.3939 0.7877

***

# 8
## AlTcIr4 (PBEsol)

Data for a relaxed structure of AlTcIr4.

Values from the calculation:
* calculated formation energy: 2.4 eV/f.u.

Lattice parameters (Å, degrees): 5.0740 5.0740 5.0740 60.00 60.00 60.00
Fractional positions:
Tc: 0.2500 0.2500 0.2500
Ir: 0.6251 0.6251 0.1247
Ir: 0.6251 0.6251 0.6251
Ir: 0.6251 0.1247 0.6251
Ir: 0.1247 0.6251 0.6251
Al: 0.0000 0.0000 0.0000

***

# 9
## Mn2ReSb (PBEsol)

Data for a relaxed structure of Mn2ReSb.

Values from the calculation:
* energy relative to the elements, uncorrected: 2.0 eV/f.u.

Lattice parameters (Å, degrees): 2.9025 2.9025 8.2225 79.83 79.83 60.00
Fractional positions:
Mn: 0.7546 0.7546 0.7363
Mn: 0.2454 0.2454 0.2637
Re: 0.5000 0.5000 0.5000
Sb: 0.0000 0.0000 0.0000

***

# 10
## Sr2CuOs (PBEsol)

Data for a relaxed structure of Sr2CuOs.

Values from the calculation:
* calculated formation energy: 1.6 eV/f.u.

Lattice parameters (Å, degrees): 4.2487 4.5861 5.7865 113.35 90.00 90.00
Fractional positions:
Os: 0.5000 0.5771 0.1541
Sr: 0.5000 0.2674 0.5348
Sr: 0.0000 0.9810 0.9619
Cu: 0.0000 0.6746 0.3492

***

# 11
## TlCoPtBr2 (PBEsol)

Data for a relaxed structure of TlCoPtBr2.

Values from the calculation:
* energy relative to the elements, uncorrected: 2.0 eV/f.u.

Lattice parameters (Å, degrees): 4.7205 5.1688 5.1688 90.00 90.00 90.00
Fractional positions:
Pt: 0.0000 0.0000 0.0000
Tl: 0.5000 0.5000 0.5000
Co: 0.5000 0.0000 0.0000
Br: 0.0000 0.5000 0.0000
Br: 0.0000 0.0000 0.5000

***

# 12
## PrB2Ir3 (PBEsol)

Data for a relaxed structure of PrB2Ir3.

Values from the calculation:
* calculated formation energy: -3.8 eV/f.u.

Lattice parameters (Å, degrees): 3.0868 5.5232 5.5232 120.00 90.00 90.00
Fractional positions:
Ir: 0.5000 0.0000 0.5000
Ir: 0.5000 0.5000 0.0000
Ir: 0.5000 0.5000 0.5000
Pr: 0.0000 0.0000 0.0000
B: 0.0000 0.6667 0.3333
B: 0.0000 0.3333 0.6667

***

# 13
## FeSeO4 (PBEsol)

Data for a relaxed structure of FeSeO4.

Values from the calculation:
* energy relative to the elements, uncorrected: -5.1 eV/f.u.

Lattice parameters (Å, degrees): 4.6806 4.6806 5.8902 90.00 90.00 94.13
Fractional positions:
O: 0.8001 0.8386 0.2500
O: 0.2761 0.7239 0.0182
O: 0.2761 0.7239 0.4818
O: 0.7239 0.2761 0.9818
O: 0.1614 0.1999 0.2500
O: 0.8386 0.8001 0.7500
O: 0.1999 0.1614 0.7500
O: 0.7239 0.2761 0.5182
Fe: 0.0000 0.0000 0.5000
Fe: 0.0000 0.0000 0.0000
Se: 0.5719 0.4281 0.7500
Se: 0.4281 0.5719 0.2500

***

# 14
## Cd2InPb (PBEsol)

Data for a relaxed structure of Cd2InPb.

Values from the calculation:
* calculated formation energy: 0.2 eV/f.u.

Lattice parameters (Å, degrees): 4.7631 4.5120 5.6126 113.70 115.11 90.00
Fractional positions:
Cd: 0.2532 0.2532 0.5063
Cd: 0.7468 0.7468 0.4937
In: 0.5000 0.0000 0.0000
Pb: 0.0000 0.5000 0.0000